# VH2N (GGA-PBE, optimized geometry)
data_VH2N
_chemical_formula_sum 'V1 H2 N1'
_cell_length_a 3.217
_cell_length_b 3.217
_cell_length_c 3.217
_cell_angle_alpha 60.00
_cell_angle_beta 60.00
_cell_angle_gamma 60.00
_symmetry_space_group_name_H-M 'P 1'
_symmetry_Int_Tables_number 1
_symmetry_space_group_name_Hall 'P 1'
loop_
_atom_site_label
_atom_site_type_symbol
_atom_site_fract_x
_atom_site_fract_y
_atom_site_fract_z
V1 V 0.000 0.000 0.000
H1 H 0.250 0.250 0.250
H2 H 0.750 0.750 0.750
N1 N 0.500 0.500 0.500
# - space-group type = Fm-3m (225)
# - final energy (eV/atom) = -5.376
# - DOS(E_F) (states/eV/f.u.) = 2.30

# BaEuZr2O6 (GGA-PBE, optimized geometry)
data_BaEuZr2O6
_chemical_formula_sum 'Ba1 Eu1 Zr2 O6'
_cell_length_a 4.221
_cell_length_b 4.221
_cell_length_c 8.445
_cell_angle_alpha 90.00
_cell_angle_beta 90.00
_cell_angle_gamma 90.00
_symmetry_space_group_name_H-M 'P 1'
_symmetry_Int_Tables_number 1
_symmetry_space_group_name_Hall 'P 1'
loop_
_atom_site_label
_atom_site_type_symbol
_atom_site_fract_x
_atom_site_fract_y
_atom_site_fract_z
Ba1 Ba 0.000 0.000 0.000
Eu1 Eu 0.000 0.000 0.500
Zr1 Zr 0.500 0.500 0.254
Zr2 Zr 0.500 0.500 0.746
O1 O 0.000 0.500 0.258
O2 O 0.000 0.500 0.742
O3 O 0.500 0.000 0.258
O4 O 0.500 0.000 0.742
O5 O 0.500 0.500 0.000
O6 O 0.500 0.500 0.500
# - space-group type = P4/mmm (123)
# - formation energy from raw total energies (eV per atom) = -3.1737
# - DOS(E_F) (states/eV/f.u.) = 14.36

# LiSc3Cr (GGA-PBE, optimized geometry)
data_LiSc3Cr
_chemical_formula_sum 'Li1 Sc3 Cr1'
_cell_length_a 4.975
_cell_length_b 4.975
_cell_length_c 4.975
_cell_angle_alpha 90.00
_cell_angle_beta 90.00
_cell_angle_gamma 90.00
_symmetry_space_group_name_H-M 'P 1'
_symmetry_Int_Tables_number 1
_symmetry_space_group_name_Hall 'P 1'
loop_
_atom_site_label
_atom_site_type_symbol
_atom_site_fract_x
_atom_site_fract_y
_atom_site_fract_z
Li1 Li 0.000 0.000 0.000
Sc1 Sc 0.000 0.500 0.500
Sc2 Sc 0.500 0.000 0.500
Sc3 Sc 0.500 0.500 0.000
Cr1 Cr 0.500 0.500 0.500
# - space-group type = Pm-3m (221)
# - ΔH_f (0 K) (meV/atom) = 409
# - DOS(E_F) (states/eV/f.u.) = 4.78

# YFeOs2 (GGA-PBE, optimized geometry)
data_YFeOs2
_chemical_formula_sum 'Y1 Fe1 Os2'
_cell_length_a 4.470
_cell_length_b 4.470
_cell_length_c 3.299
_cell_angle_alpha 90.00
_cell_angle_beta 90.00
_cell_angle_gamma 90.00
_symmetry_space_group_name_H-M 'P 1'
_symmetry_Int_Tables_number 1
_symmetry_space_group_name_Hall 'P 1'
loop_
_atom_site_label
_atom_site_type_symbol
_atom_site_fract_x
_atom_site_fract_y
_atom_site_fract_z
Y1 Y 0.000 0.000 0.000
Fe1 Fe 0.500 0.500 0.000
Os1 Os 0.000 0.500 0.500
Os2 Os 0.500 0.000 0.500
# - space-group type = P4/mmm (123)
# - ΔH_f (0 K) (meV/atom) = 396
# - DOS(E_F) (states/eV/f.u.) = 2.77

# Tb4GaPd (GGA-PBE, optimized geometry)
data_Tb4GaPd
_chemical_formula_sum 'Tb8 Ga2 Pd2'
_cell_length_a 10.792
_cell_length_b 10.792
_cell_length_c 6.294
_cell_angle_alpha 90.00
_cell_angle_beta 90.00
_cell_angle_gamma 152.17
_symmetry_space_group_name_H-M 'P 1'
_symmetry_Int_Tables_number 1
_symmetry_space_group_name_Hall 'P 1'
loop_
_atom_site_label
_atom_site_type_symbol
_atom_site_fract_x
_atom_site_fract_y
_atom_site_fract_z
Tb1 Tb 0.057 0.943 0.500
Tb2 Tb 0.191 0.809 0.783
Tb3 Tb 0.213 0.787 0.297
Tb4 Tb 0.385 0.615 0.559
Tb5 Tb 0.615 0.385 0.059
Tb6 Tb 0.787 0.213 0.797
Tb7 Tb 0.809 0.191 0.283
Tb8 Tb 0.943 0.057 0.000
Ga1 Ga 0.341 0.659 0.035
Ga2 Ga 0.659 0.341 0.535
Pd1 Pd 0.075 0.925 0.006
Pd2 Pd 0.925 0.075 0.506
# - space-group type = Cmc2_1 (36)
# - ΔH_f (0 K) (meV/atom) = -320
# - DOS(E_F) (states/eV/f.u.) = 6.53

# YTl3Te (GGA-PBE, optimized geometry)
data_YTl3Te
_chemical_formula_sum 'Y1 Tl3 Te1'
_cell_length_a 5.958
_cell_length_b 5.958
_cell_length_c 5.958
_cell_angle_alpha 90.00
_cell_angle_beta 90.00
_cell_angle_gamma 90.00
_symmetry_space_group_name_H-M 'P 1'
_symmetry_Int_Tables_number 1
_symmetry_space_group_name_Hall 'P 1'
loop_
_atom_site_label
_atom_site_type_symbol
_atom_site_fract_x
_atom_site_fract_y
_atom_site_fract_z
Y1 Y 0.000 0.000 0.000
Tl1 Tl 0.000 0.000 0.500
Tl2 Tl 0.000 0.500 0.000
Tl3 Tl 0.500 0.000 0.000
Te1 Te 0.500 0.500 0.500
# - space-group type = Pm-3m (221)
# - formation energy from raw total energies (eV per atom) = 0.4330
# - DOS(E_F) (states/eV/f.u.) = 5.71

# YErAlPd (GGA-PBE, optimized geometry)
data_YErAlPd
_chemical_formula_sum 'Y1 Er1 Al1 Pd1'
_cell_length_a 4.427
_cell_length_b 5.894
_cell_length_c 5.894
_cell_angle_alpha 37.39
_cell_angle_beta 90.00
_cell_angle_gamma 90.00
_symmetry_space_group_name_H-M 'P 1'
_symmetry_Int_Tables_number 1
_symmetry_space_group_name_Hall 'P 1'
loop_
_atom_site_label
_atom_site_type_symbol
_atom_site_fract_x
_atom_site_fract_y
_atom_site_fract_z
Y1 Y 0.000 0.000 0.000
Er1 Er 0.500 0.294 0.294
Al1 Al 0.500 0.578 0.578
Pd1 Pd 0.000 0.721 0.721
# - space-group type = Amm2 (38)
# - ΔH_f (0 K) (meV/atom) = -640
# - DOS(E_F) (states/eV/f.u.) = 3.47

# Mg5In2Ni2Pd (GGA-PBE, optimized geometry)
data_Mg5In2Ni2Pd
_chemical_formula_sum 'Mg10 In4 Ni4 Pd2'
_cell_length_a 10.713
_cell_length_b 10.713
_cell_length_c 3.240
_cell_angle_alpha 90.00
_cell_angle_beta 90.00
_cell_angle_gamma 90.00
_symmetry_space_group_name_H-M 'P 1'
_symmetry_Int_Tables_number 1
_symmetry_space_group_name_Hall 'P 1'
loop_
_atom_site_label
_atom_site_type_symbol
_atom_site_fract_x
_atom_site_fract_y
_atom_site_fract_z
Mg1 Mg 0.000 0.500 0.000
Mg2 Mg 0.055 0.199 0.000
Mg3 Mg 0.199 0.945 0.000
Mg4 Mg 0.301 0.445 0.000
Mg5 Mg 0.445 0.699 0.000
Mg6 Mg 0.500 0.000 0.000
Mg7 Mg 0.555 0.301 0.000
Mg8 Mg 0.699 0.555 0.000
Mg9 Mg 0.801 0.055 0.000
Mg10 Mg 0.945 0.801 0.000
In1 In 0.180 0.680 0.500
In2 In 0.320 0.180 0.500
In3 In 0.680 0.820 0.500
In4 In 0.820 0.320 0.500
Ni1 Ni 0.135 0.365 0.500
Ni2 Ni 0.365 0.865 0.500
Ni3 Ni 0.635 0.135 0.500
Ni4 Ni 0.865 0.635 0.500
Pd1 Pd 0.000 0.000 0.500
Pd2 Pd 0.500 0.500 0.500
# - space-group type = P4/mbm (127)
# - ΔH_f (0 K) (meV/atom) = -223
# - DOS(E_F) (states/eV/f.u.) = 2.71

no.,size of the total moment (μB per cell)
1,1.3
2,7.0
3,1.5
4,3.1
5,0.0
6,0.7
7,0.0
8,0.0